MnCr2Ir2 | PBE | optimized geometry

```
MnCr2Ir2
1.0
7.095 0.000 0.000
0.000 7.095 0.000
0.000 0.000 2.672
Mn Cr Ir
2 4 4
Cartesian
0.000 0.000 0.000
3.548 3.548 0.000
0.833 2.714 0.000
2.714 6.262 0.000
4.381 0.833 0.000
6.262 4.381 0.000
1.253 4.801 1.336
2.295 1.253 1.336
4.801 5.842 1.336
5.842 2.295 1.336
```

DFT formation energy: 0.170 eV per atom
space group: P4/mbm
Fermi-level density of states: 8.804 states/eV/cell